A) ## Be2Mo2C (PBE)

Data for crystalline Be2Mo2C at its relaxed geometry.

Computed properties:
Total moment   0.0 μB/cell
SG   No. 127
Calculated volume   10.6 Å³ per atom

abc: 5.2784 5.2784 3.7874
angles: 90.00 90.00 90.00
With the nearest neighbours (Å) after each atom.
Fractional positions:
Be (0.1382, 0.3618, 0.0000)  2 C 2.04, 1 Be 2.06
Be (0.3618, 0.8618, 0.0000)  2 C 2.04, 1 Be 2.06
Be (0.6382, 0.1382, 0.0000)  2 C 2.04, 1 Be 2.06
Be (0.8618, 0.6382, 0.0000)  2 C 2.04, 1 Be 2.06
Mo (0.1764, 0.6764, 0.5000)  6 Be 2.35-2.53
Mo (0.3236, 0.1764, 0.5000)  6 Be 2.35-2.53
Mo (0.6764, 0.8236, 0.5000)  6 Be 2.35-2.53
Mo (0.8236, 0.3236, 0.5000)  6 Be 2.35-2.53
C (0.0000, 0.0000, 0.0000)  4 Be 2.04
C (0.5000, 0.5000, 0.0000)  4 Be 2.04



B) ## Be2Mo2C (PBE)

Data for crystalline Be2Mo2C at its relaxed geometry.

Computed properties:
Total moment   0.0 μB/cell
SG   No. 139
Calculated volume   14.0 Å³ per atom

abc: 6.2776 6.2776 6.2776
angles: 147.79 147.79 46.19
With the nearest neighbours (Å) after each atom.
Fractional positions:
Be (0.0888, 0.0888, 0.0000)  1 Be 2.05
Be (0.9112, 0.9112, 0.0000)  1 Be 2.05
Mo (0.2500, 0.7500, 0.5000)  4 Mo 2.46, 4 Be 2.55
Mo (0.7500, 0.2500, 0.5000)  4 Mo 2.46, 4 Be 2.55
C (0.5000, 0.5000, 0.0000)  8 Be 2.67



Ranking the structures above by energy, A) is first and the second is 1.097 eV/atom behind.